Record 1
Crystalline K2AsPt at its relaxed geometry. Source: Alexandria via LeMat-Bulk, functional GGA-PBEsol.

Structure (POSCAR):
```
K2AsPt
1.0
4.314 0.000 0.000
0.000 5.629 0.000
0.000 0.000 9.674
K As Pt
4 2 2
direct
0.000 0.000 0.000
0.000 0.500 0.182
0.500 0.000 0.682
0.500 0.500 0.500
0.000 0.000 0.391
0.500 0.500 0.891
0.000 0.500 0.800
0.500 0.000 0.300
```

Output
E = -3.9311 eV per atom
energy of formation = -1.39 eV per formula unit
V = 29.37 Å³ per atom

***

Record 2
Crystalline LaY2Tl at its relaxed geometry. Source: Alexandria via LeMat-Bulk, functional GGA-PBEsol.

Structure (POSCAR):
```
LaY2Tl
1.0
3.615 0.000 0.000
0.000 3.615 0.000
0.000 0.000 8.895
La Y Tl
1 2 1
direct
0.000 0.000 0.000
0.500 0.500 0.277
0.500 0.500 0.723
0.000 0.000 0.500
```

Output
E = -5.6411 eV per atom
energy of formation = -0.94 eV per formula unit
V = 29.06 Å³ per atom
relative energy among the computed polymorphs = 0 meV per atom

***

Record 3
Crystalline CoSe2 at its relaxed geometry. Source: Alexandria via LeMat-Bulk, functional GGA-PBEsol.

Structure (POSCAR):
```
CoSe2
1.0
9.948 0.000 0.000
0.000 3.561 0.000
0.000 0.000 5.789
Co Se
4 8
direct
0.139 0.250 0.114
0.361 0.750 0.614
0.639 0.250 0.386
0.861 0.750 0.886
0.007 0.250 0.782
0.229 0.250 0.489
0.271 0.750 0.989
0.493 0.750 0.282
0.507 0.250 0.718
0.729 0.250 0.011
0.771 0.750 0.511
0.993 0.750 0.218
```

Output
E = -5.5091 eV per atom
formation energy (no corrections) = -0.363 eV/atom
V = 17.09 Å³ per atom

***

no.,magnetic moment (μB per cell)
1,0.0
2,0.0
3,0.0